Tl2BIrPb: relaxed, PBE.

Cell lengths 5.2295, 5.2295, 4.1408 Å; angles 90.00, 90.00, 90.00 degrees
With the nearest neighbours (Å) after each atom.
Space group P4/mmm (No. 123)
Unique sites:
1 Tl 0.0000 0.5000 0.0000 x2  2 B 2.61
2 B 0.0000 0.0000 0.0000 x1  2 Ir 2.07
3 Ir 0.0000 0.0000 0.5000 x1  2 B 2.07
4 Pb 0.5000 0.5000 0.5000 x1  8 Tl 3.34, 4 Ir 3.70

## Properties
Calculated formation energy: 0.55 eV per atom
M_tot: 0.00 μB/f.u.

***

BIr3Pd: relaxed, PBE.

Cell lengths 4.7517, 4.7517, 4.7517 Å; angles 90.00, 90.00, 90.00 degrees
With the nearest neighbours (Å) after each atom.
Space group Pm-3m (No. 221)
Unique sites:
1 B 0.0000 0.0000 0.0000 x1  12 Ir 3.36
2 Ir 0.0000 0.5000 0.5000 x3  2 Pd 2.38
3 Pd 0.5000 0.5000 0.5000 x1  6 Ir 2.38

## Properties
Calculated formation energy: 2.99 eV per atom
Polymorph energy (0 for the lowest one): 2.739 eV per atom
M_tot: 2.64 μB/f.u.

***

BIr3Pd: relaxed, PBE.

Cell lengths 4.1136, 4.1136, 4.1136 Å; angles 90.00, 90.00, 90.00 degrees
With the nearest neighbours (Å) after each atom.
Space group Pm-3m (No. 221)
Unique sites:
1 B 0.0000 0.0000 0.0000 x1  6 Ir 2.06
2 Ir 0.0000 0.0000 0.5000 x3  2 B 2.06
3 Pd 0.5000 0.5000 0.5000 x1  12 Ir 2.91

## Properties
Calculated formation energy: 0.25 eV per atom
Polymorph energy (0 for the lowest one): 0.000 eV per atom
M_tot: 0.00 μB/f.u.

***

BIrPd3: relaxed, PBE.

Cell lengths 4.1384, 4.1384, 4.1384 Å; angles 90.00, 90.00, 90.00 degrees
With the nearest neighbours (Å) after each atom.
Space group Pm-3m (No. 221)
Unique sites:
1 B 0.0000 0.0000 0.0000 x1  6 Pd 2.07
2 Ir 0.5000 0.5000 0.5000 x1  12 Pd 2.93
3 Pd 0.0000 0.0000 0.5000 x3  2 B 2.07

## Properties
Calculated formation energy: 0.31 eV per atom
Polymorph energy (0 for the lowest one): 0.000 eV per atom
M_tot: 0.00 μB/f.u.

***

B2IrPd3: relaxed, PBE.

Cell lengths 12.5009, 3.2987, 8.4640 Å; angles 90.00, 117.07, 90.00 degrees
With the nearest neighbours (Å) after each atom.
Space group C2/m (No. 12)
Unique sites:
1 B 0.1105 0.0000 0.4351 x4  2 Ir 2.08-2.29, 3 Pd 2.19-2.26
2 B 0.1311 0.5000 0.8465 x4  2 Ir 2.08, 4 Pd 2.21-2.22
3 Ir 0.0758 0.0000 0.6786 x4  4 B 2.08-2.29
4 Pd 0.0612 0.5000 0.2118 x4  3 B 2.22-2.37
5 Pd 0.1712 0.0000 0.0407 x4  3 B 2.21-2.22
6 Pd 0.2201 0.5000 0.5984 x4  3 B 2.19-2.26

## Properties
Calculated formation energy: -0.22 eV per atom
M_tot: 0.00 μB/f.u.

***

BIr2Pd: relaxed, PBE.

Cell lengths 2.7516, 2.7516, 6.6844 Å; angles 90.00, 90.00, 90.00 degrees
With the nearest neighbours (Å) after each atom.
Space group P4/mmm (No. 123)
Unique sites:
1 B 0.0000 0.0000 0.0000 x1  8 Ir 2.34
2 Ir 0.5000 0.5000 0.1936 x2  4 B 2.34, 1 Ir 2.59
3 Pd 0.0000 0.0000 0.5000 x1  4 Pd 2.75, 8 Ir 2.82

## Properties
Calculated formation energy: 0.05 eV per atom
M_tot: 0.00 μB/f.u.

***

BIrPd3: relaxed, PBE.

Cell lengths 4.8414, 4.8414, 4.8414 Å; angles 90.00, 90.00, 90.00 degrees
With the nearest neighbours (Å) after each atom.
Space group Pm-3m (No. 221)
Unique sites:
1 B 0.0000 0.0000 0.0000 x1  12 Pd 3.42
2 Ir 0.5000 0.5000 0.5000 x1  6 Pd 2.42
3 Pd 0.0000 0.5000 0.5000 x3  2 Ir 2.42

## Properties
Calculated formation energy: 2.00 eV per atom
Polymorph energy (0 for the lowest one): 1.685 eV per atom
M_tot: 0.04 μB/f.u.

***

BIr2Pd: relaxed, PBE.

Cell lengths 4.7311, 4.7311, 11.9854 Å; angles 90.00, 90.00, 90.00 degrees
With the nearest neighbours (Å) after each atom.
Space group I-42d (No. 122)
Unique sites:
1 B 0.0000 0.0000 0.0000 x4  4 Ir 2.03
2 Ir 0.1456 0.2500 0.1250 x8  2 B 2.03
3 Pd 0.0000 0.0000 0.5000 x4  4 Ir 2.54

## Properties
Calculated formation energy: 0.66 eV per atom
M_tot: 0.00 μB/f.u.

***

BIr2Pd: relaxed, PBE.

Cell lengths 3.2999, 3.2999, 17.7686 Å; angles 90.00, 90.00, 120.00 degrees
With the nearest neighbours (Å) after each atom.
Space group R3m (No. 160, hexagonal axes)
Unique sites:
1 B 0.0000 0.0000 0.0000 x3  6 Ir 2.13-2.15
2 Ir 0.0000 0.0000 0.3871 x3  3 B 2.13
3 Ir 0.0000 0.0000 0.6102 x3  3 B 2.15
4 Pd 0.0000 0.0000 0.1613 x3  6 Ir 2.70-2.80, 1 B 2.87

## Properties
Calculated formation energy: 0.12 eV per atom
M_tot: 0.00 μB/f.u.

***

BSbIrPd2: relaxed, PBE.

Cell lengths 4.9397, 4.9397, 4.9113 Å; angles 90.00, 90.00, 90.00 degrees
With the nearest neighbours (Å) after each atom.
Space group P4/mmm (No. 123)
Unique sites:
1 B 0.0000 0.0000 0.0000 x1  8 Pd 3.48, 4 Ir 3.49
2 Sb 0.5000 0.5000 0.5000 x1  2 Ir 2.46, 4 Pd 2.47
3 Ir 0.5000 0.5000 0.0000 x1  2 Sb 2.46
4 Pd 0.0000 0.5000 0.5000 x2  2 Sb 2.47

## Properties
M_tot: 0.35 μB/f.u.
Energy relative to the elements, uncorrected: 1.738 eV per atom

***

SnBIrPd2: relaxed, PBE.

Cell lengths 4.2678, 4.2678, 4.1754 Å; angles 90.00, 90.00, 90.00 degrees
With the nearest neighbours (Å) after each atom.
Space group P4/mmm (No. 123)
Unique sites:
1 Sn 0.0000 0.0000 0.0000 x1  8 Pd 2.99, 4 Ir 3.02
2 B 0.5000 0.5000 0.5000 x1  2 Ir 2.09, 4 Pd 2.13
3 Ir 0.5000 0.5000 0.0000 x1  2 B 2.09
4 Pd 0.0000 0.5000 0.5000 x2  2 B 2.13

## Properties
Calculated formation energy: -0.15 eV per atom
M_tot: 0.00 μB/f.u.

***

SrBIrPd2: relaxed, PBE.

Cell lengths 4.4362, 4.4362, 4.1916 Å; angles 90.00, 90.00, 90.00 degrees
With the nearest neighbours (Å) after each atom.
Space group P4/mmm (No. 123)
Unique sites:
1 Sr 0.0000 0.0000 0.0000 x1  8 Pd 3.05, 4 Ir 3.14
2 B 0.5000 0.5000 0.5000 x1  2 Ir 2.10, 4 Pd 2.22
3 Ir 0.5000 0.5000 0.0000 x1  2 B 2.10
4 Pd 0.0000 0.5000 0.5000 x2  2 B 2.22

## Properties
Calculated formation energy: -0.40 eV per atom
M_tot: 0.00 μB/f.u.

***

YBIrPd2: relaxed, PBE.

Cell lengths 4.3342, 4.3342, 4.1955 Å; angles 90.00, 90.00, 90.00 degrees
With the nearest neighbours (Å) after each atom.
Space group P4/mmm (No. 123)
Unique sites:
1 Y 0.0000 0.0000 0.0000 x1  8 Pd 3.02, 4 Ir 3.06
2 B 0.5000 0.5000 0.5000 x1  2 Ir 2.10, 4 Pd 2.17
3 Ir 0.5000 0.5000 0.0000 x1  2 B 2.10
4 Pd 0.0000 0.5000 0.5000 x2  2 B 2.17

## Properties
Calculated formation energy: -0.67 eV per atom
M_tot: 0.00 μB/f.u.

***

ZrBIr2Pd: relaxed, PBE.

Cell lengths 4.1602, 4.1602, 4.2961 Å; angles 90.00, 90.00, 90.00 degrees
With the nearest neighbours (Å) after each atom.
Space group P4/mmm (No. 123)
Unique sites:
1 Zr 0.0000 0.0000 0.0000 x1  4 Pd 2.94, 8 Ir 2.99
2 B 0.5000 0.5000 0.5000 x1  4 Ir 2.08, 2 Pd 2.15
3 Ir 0.0000 0.5000 0.5000 x2  2 B 2.08
4 Pd 0.5000 0.5000 0.0000 x1  2 B 2.15

## Properties
Calculated formation energy: -0.51 eV per atom
M_tot: 0.00 μB/f.u.

***

PmB2Ir: relaxed, PBE.

Cell lengths 3.7094, 3.7094, 14.5058 Å; angles 90.00, 90.00, 120.00 degrees
With the nearest neighbours (Å) after each atom.
Space group R-3m (No. 166, hexagonal axes)
Unique sites:
1 Pm 0.0000 0.0000 0.0000 x3  8 B 2.87-2.92
2 B 0.0000 0.0000 0.2012 x6  3 Ir 2.20, 3 B 2.36
3 Ir 0.0000 0.0000 0.5000 x3  6 B 2.20

## Properties
Calculated formation energy: -0.37 eV per atom
Polymorph energy (0 for the lowest one): 0.090 eV per atom
M_tot: 0.00 μB/f.u.

***

PmBIr2: relaxed, PBE.

Cell lengths 3.9874, 3.9874, 8.6163 Å; angles 90.00, 90.00, 90.00 degrees
With the nearest neighbours (Å) after each atom.
Space group P4/nmm (No. 129, origin choice 2)
Unique sites:
1 Pm 0.2500 0.2500 0.2088 x2  9 Ir 2.87-3.21
2 B 0.2500 0.2500 0.6093 x2  5 Ir 2.10-2.20
3 Ir 0.2500 0.2500 0.8528 x2  1 B 2.10
4 Ir 0.2500 0.7500 0.5000 x2  4 B 2.20

## Properties
Calculated formation energy: -0.47 eV per atom
Polymorph energy (0 for the lowest one): 0.000 eV per atom
M_tot: 0.00 μB/f.u.

***

Pm4B3Ir5: relaxed, PBE.

Cell lengths 15.6206, 4.1389, 6.6638 Å; angles 90.00, 96.56, 90.00 degrees
With the nearest neighbours (Å) after each atom.
Space group C2/m (No. 12)
Unique sites:
1 Pm 0.0879 0.0000 0.3960 x4  3 B 2.83-3.05, 3 Ir 2.90-2.99
2 Pm 0.2029 0.5000 0.1473 x4  7 Ir 2.92-3.22, 1 B 3.17
3 B 0.0000 0.0000 0.0000 x2  4 Ir 2.05-2.07
4 B 0.0826 0.5000 0.7303 x4  4 Ir 2.10-2.33
5 Ir 0.0000 0.5000 0.0000 x2  2 B 2.07
6 Ir 0.1028 0.0000 0.8339 x4  3 B 2.05-2.19
7 Ir 0.2016 0.5000 0.6135 x4  1 B 2.10

## Properties
Calculated formation energy: -0.51 eV per atom
M_tot: 0.00 μB/f.u.

***

PmB6Ir5: relaxed, PBE.

Cell lengths 5.3258, 5.4462, 5.9101 Å; angles 80.71, 63.28, 69.11 degrees
With the nearest neighbours (Å) after each atom.
Space group P-1 (No. 2)
Unique sites:
1 Pm 0.0000 0.0000 0.0000 x1  2 Ir 2.72, 8 B 2.80-2.85
2 B 0.1028 0.3756 0.6072 x2  2 B 1.95-2.07, 2 Ir 2.11-2.16
3 B 0.2903 0.6247 0.6069 x2  2 B 1.95-2.07, 2 Ir 2.11-2.16
4 B 0.4375 0.1840 0.9997 x2  1 B 1.87
5 Ir 0.0000 0.5000 0.0000 x1  6 B 2.29-2.35
6 Ir 0.3039 0.0007 0.3899 x2  4 B 2.24-2.26
7 Ir 0.3734 0.5003 0.2524 x2  6 B 2.11-2.29

## Properties
Calculated formation energy: -0.23 eV per atom
M_tot: 0.00 μB/f.u.

***

PmB3Ir3: relaxed, PBE.

Cell lengths 5.9059, 5.9059, 5.9059 Å; angles 90.00, 90.00, 90.00 degrees
With the nearest neighbours (Å) after each atom.
Space group Pm-3n (No. 223)
Unique sites:
1 Pm 0.0000 0.0000 0.0000 x2  12 B 3.30, 12 Ir 3.30
2 B 0.0000 0.2500 0.5000 x6  4 Ir 2.09
3 Ir 0.0000 0.5000 0.2500 x6  4 B 2.09

## Properties
Calculated formation energy: -0.41 eV per atom
Polymorph energy (0 for the lowest one): 0.000 eV per atom
M_tot: 0.00 μB/f.u.

***

Pm2B2Ir3: relaxed, PBE.

Cell lengths 4.2175, 3.4186, 9.4521 Å; angles 90.00, 103.01, 90.00 degrees
With the nearest neighbours (Å) after each atom.
Space group P2/m (No. 10)
Unique sites:
1 Pm 0.1120 0.0000 0.2219 x2  4 B 2.71-2.72
2 B 0.3900 0.5000 0.7824 x2  2 Ir 1.89-2.00
3 Ir 0.2885 0.5000 0.5769 x2  1 B 1.89
4 Ir 0.5000 0.5000 0.0000 x1  2 B 2.00

## Properties
Calculated formation energy: -0.23 eV per atom
M_tot: 0.00 μB/f.u.